Crystalline GaCoAg2F6 at its relaxed geometry, computed with PBE with a Hubbard U.

Results
Theoretical density in g/cm³: 5.489
E_tot in eV per atom: -4.181

Cell lengths 5.513, 4.899, 11.457 Å; angles 90.00, 116.33, 90.00 degrees
Space group P2_1/c (No. 14)
Symmetry-distinct sites (fractional):
Ga1 0.000 0.000 0.000
Co1 0.500 0.000 0.500
Ag1 0.288 0.133 0.778
F1 0.115 0.659 0.668
F2 0.151 0.703 0.942
F3 0.348 0.194 0.070